<w>
Ba2FeCu | SCAN | PBEsol geometry

Properties
The density of states at the Fermi level comes out at 0.902 states/eV/atom.

Geometry as POSCAR:
```
Ba2FeCu
1.0
-3.1548 -1.9525 -0.7681
2.0096 -2.4135 -2.1192
1.2489 -4.4998 6.3089
Cu Fe Ba
1 1 2
Direct
0.5000 0.5000 0.0000
0.5000 0.5000 0.5000
0.0000 0.0000 0.2488
0.0000 0.0000 0.7512
```

<x>
Ba2FeCu | SCAN | PBEsol geometry

Properties
The density of states at the Fermi level comes out at 0.859 states/eV/atom.

Geometry as POSCAR:
```
Ba2FeCu
1.0
5.2165 0.0000 0.0000
2.6083 4.5177 0.0000
2.6083 1.5059 4.2593
Ba Fe Cu
2 1 1
Direct
0.7500 0.7500 0.7500
0.0000 0.0000 0.0000
0.2500 0.2500 0.2500
0.5000 0.5000 0.5000
```

In order of decreasing stability: <w>, <x>.

<w>
BaCu2Ir | SCAN | PBEsol geometry

Properties
The density of states at the Fermi level comes out at 0.476 states/eV/atom.

Geometry as POSCAR:
```
BaCu2Ir
1.0
-3.9794 1.3381 -0.7800
-2.0486 -1.3223 -3.5057
-3.9463 -4.1758 1.2804
Cu Ir Ba
2 1 1
Direct
0.1868 0.1868 0.4397
0.8132 0.8132 0.5603
0.5000 0.5000 0.5000
0.0000 0.0000 0.0000
```

<x>
BaCu2Ir | SCAN | PBEsol geometry

Properties
The density of states at the Fermi level comes out at 0.490 states/eV/atom.

Geometry as POSCAR:
```
BaCu2Ir
1.0
-1.2033 3.3172 -2.4278
-3.9601 0.1388 -1.6260
-3.4452 3.7627 3.0704
Ir Cu Ba
1 2 1
Direct
0.4424 0.4424 0.6728
0.0763 0.0763 0.7711
0.7641 0.7641 0.7076
0.2571 0.2571 0.2288
```

In order of decreasing stability: <w>, <x>.